An optimized crystal structure of DyInCu, computed with PBE. Values from VASP.

ΔE_f: -0.214 eV per atom
space group: I4mm
uncorrected energy: -24.160 eV per cell

The structure in Quantum ESPRESSO input format:
```
&SYSTEM
  ibrav = 0, nat = 6, ntyp = 3
/
ATOMIC_SPECIES
Dy 162.50 Dy.upf
In 114.82 In.upf
Cu 63.55 Cu.upf
CELL_PARAMETERS angstrom
3.329 0.000 0.000
0.000 3.329 0.000
0.000 0.000 11.581
ATOMIC_POSITIONS crystal
Dy 0.000 0.000 0.000
Dy 0.500 0.500 0.500
In 0.000 0.000 0.296
In 0.500 0.500 0.796
Cu 0.000 0.000 0.656
Cu 0.500 0.500 0.156
```